[1]
Below is a geometry-optimized Sr2BiH12Rh3 structure, with properties calculated at the PBE level.

Unit cell a=6.391 b=6.391 c=6.391 alpha=61.07 beta=61.07 gamma=61.07
Atoms (fractional coordinates):
H 0.870 0.437 0.870
H 0.437 0.870 0.870
H 0.307 0.873 0.307
H 0.130 0.130 0.563
H 0.870 0.870 0.437
H 0.693 0.127 0.693
H 0.130 0.563 0.130
H 0.563 0.130 0.130
H 0.127 0.693 0.693
H 0.307 0.307 0.873
H 0.693 0.693 0.127
H 0.873 0.307 0.307
Bi 0.000 0.000 0.000
Rh 0.000 0.000 0.500
Rh 0.000 0.500 0.000
Rh 0.500 0.000 0.000
Sr 0.610 0.610 0.610
Sr 0.390 0.390 0.390

Calculated values
energy	-0.150	hartree per atom
symmetry	R-3m, No. 166
total moment	0.000	μB per formula unit



[2]
Below is a geometry-optimized TcBiHRh2 structure, with properties calculated at the PBE level.

Unit cell a=4.040 b=4.183 c=4.040 alpha=90.00 beta=90.00 gamma=90.00
Atoms (fractional coordinates):
H 0.000 0.000 0.000
Bi 0.500 0.500 0.500
Rh 0.500 0.000 0.000
Rh 0.000 0.000 0.500
Tc 0.000 0.500 0.000

Calculated values
energy	-0.233	hartree per atom
symmetry	P4/mmm, No. 123
total moment	0.000	μB per formula unit



> Among the records above, which one has the highest energy?

Sr2BiH12Rh3